A plane-wave DFT calculation with PBE-GGA was carried out for crystalline Ba2UGaS6 at its relaxed geometry.

a = 7.1520 Å, b = 7.1520 Å, c = 17.0663 Å
α = 90.00°, β = 90.00°, γ = 120.00°
Space group R-3 (No. 148, hexagonal axes)
Unique sites:
Ba: 0.0000 0.0000 0.2476
U: 0.0000 0.0000 0.5000
Ga: 0.0000 0.0000 0.0000
S: 0.0077 0.4526 0.7480

Output
Magnetization ... 0.100 μB per atom
ΔE_f (raw) ... -1.45 eV/atom
Energy ... -5.75 eV per atom


A plane-wave DFT calculation with PBE-GGA was carried out for crystalline BaUGaS6 at its relaxed geometry.

a = 6.4199 Å, b = 6.4199 Å, c = 7.1523 Å
α = 90.00°, β = 90.00°, γ = 120.00°
Space group P312 (No. 149)
Unique sites:
Ba: 0.0000 0.0000 0.0000
U: 0.3333 0.6667 0.5000
Ga: 0.6667 0.3333 0.5000
S: 0.3772 0.0080 0.7102

Output
Magnetization ... 0.046 μB per atom
ΔE_f (raw) ... -0.94 eV/atom
Energy ... -5.50 eV per atom


The records above yield V values of 25.20, 28.37 Å³ per atom, respectively.